# La2CuRu

A geometry-optimized La2CuRu structure (PBE-GGA, the Alexandria database).

## Properties
total DFT energy (no corrections) = -0.4455 Ry per atom
energy relative to the elements = -0.255 eV per atom
total magnetic moment = 0.0 Bohr magnetons per cell

Cell lengths 6.089, 4.194, 8.123 Å; angles 90.00, 109.70, 90.00 degrees
Fractional coordinates of all 8 atoms:
La (0.222, 0.250, 0.442)
La (0.226, 0.250, 0.919)
La (0.774, 0.750, 0.081)
La (0.778, 0.750, 0.558)
Cu (0.358, 0.750, 0.214)
Cu (0.642, 0.250, 0.786)
Ru (0.339, 0.750, 0.716)
Ru (0.661, 0.250, 0.284)